Record 1
Entry from the Alexandria database: crystalline KCa3Ac2S6 at its relaxed geometry (PBE-GGA).

**ΔE_f (raw)**: -1.98 eV per atom
**SG**: No. 12

a b c (Å): 4.1934 8.4808 9.3769
angles (deg): 103.21 102.92 90.00
Atoms (fractional coordinates):
S1 0.9980 0.2723 0.9961
S2 0.3249 0.9213 0.6497
Ca1 0.1630 0.8333 0.3261
S3 0.0020 0.7277 0.0039
Ca2 0.8370 0.1667 0.6739
K1 0.5000 0.0000 0.0000
S4 0.6656 0.5902 0.3312
Ac1 0.1631 0.3268 0.3263
Ac2 0.8369 0.6732 0.6737
S5 0.3344 0.4098 0.6688
Ca3 0.5000 0.5000 0.0000
S6 0.6751 0.0787 0.3503


Record 2
Entry from the Alexandria database: crystalline KCaAc2Se4 at its relaxed geometry (PBE-GGA).

**ΔE_f (raw)**: -1.82 eV per atom
**SG**: No. 10

a b c (Å): 4.4485 7.6928 7.7617
angles (deg): 70.74 90.00 90.00
Atoms (fractional coordinates):
Ac1 0.5000 0.0000 0.5000
Se1 0.5000 0.2437 0.7622
K1 0.0000 0.5000 0.5000
Se2 0.0000 0.7441 0.7614
Se3 0.0000 0.2559 0.2386
Ca1 0.5000 0.5000 0.0000
Se4 0.5000 0.7563 0.2378
Ac2 0.0000 0.0000 0.0000


Record 3
Entry from the Alexandria database: crystalline KCa2AcTe4 at its relaxed geometry (PBE-GGA).

**ΔE_f (raw)**: -1.53 eV per atom
**SG**: No. 10

a b c (Å): 4.6932 8.0779 8.1044
angles (deg): 71.40 90.00 90.00
Atoms (fractional coordinates):
Ca1 0.0000 0.0000 0.0000
Ac1 0.5000 0.5000 0.0000
Te1 0.5000 0.7717 0.2336
Ca2 0.5000 0.0000 0.5000
Te2 0.0000 0.7632 0.7518
Te3 0.5000 0.2283 0.7664
Te4 0.0000 0.2368 0.2482
K1 0.0000 0.5000 0.5000


Record 4
Entry from the Alexandria database: crystalline Ca6Ac8La at its relaxed geometry (PBE-GGA).

**SG**: No. 147
**ΔH_f (0 K)**: 16.3 kJ/mol of atoms

a b c (Å): 6.6694 10.6826 10.6826
angles (deg): 120.00 90.00 90.00
Atoms (fractional coordinates):
Ac1 0.2179 0.6667 0.3333
La1 0.5000 0.0000 0.0000
Ac2 0.7772 0.0496 0.2656
Ac3 0.2228 0.9504 0.7344
Ac4 0.7821 0.3333 0.6667
Ca1 0.2713 0.0952 0.4694
Ca2 0.7287 0.9048 0.5306
Ac5 0.2228 0.7840 0.0496
Ca3 0.2713 0.3742 0.9048
Ca4 0.7287 0.4694 0.3742
Ca5 0.2713 0.5306 0.6258
Ac6 0.7772 0.2160 0.9504
Ac7 0.2228 0.2656 0.2160
Ca6 0.7287 0.6258 0.0952
Ac8 0.7772 0.7344 0.7840